1.
Density functional theory data (PBE) for a relaxed structure of SiP2PbO.

Unit cell a=5.3077 b=5.3077 c=4.1766 alpha=90.00 beta=90.00 gamma=90.00
Sites, in units of the cell vectors:
Pb: 0.0000 0.0000 0.0000
P: 0.0000 0.5000 0.0000
P: 0.5000 0.0000 0.0000
Si: 0.5000 0.5000 0.5000
O: 0.0000 0.0000 0.5000

calculated density	4.42	Mg/m³
uncorrected formation energy	1043	meV per atom

2.
Density functional theory data (PBE) for a relaxed structure of AlTlSCl2.

Unit cell a=4.9695 b=4.9695 c=4.6019 alpha=90.00 beta=90.00 gamma=90.00
Sites, in units of the cell vectors:
Tl: 0.5000 0.5000 0.5000
Al: 0.0000 0.0000 0.0000
S: 0.0000 0.0000 0.5000
Cl: 0.0000 0.5000 0.0000
Cl: 0.5000 0.0000 0.0000

calculated density	4.89	Mg/m³
uncorrected formation energy	-909	meV per atom

3.
Density functional theory data (PBE) for a relaxed structure of Dy2FeAg.

Unit cell a=3.3464 b=3.3464 c=7.5450 alpha=90.00 beta=90.00 gamma=90.00
Sites, in units of the cell vectors:
Fe: 0.5000 0.5000 0.0000
Ag: 0.5000 0.5000 0.5000
Dy: 0.0000 0.0000 0.7840
Dy: 0.0000 0.0000 0.2160

raw total energy	-20.96	eV/f.u.
calculated density	9.60	Mg/m³